No. 1
Here is a relaxed ScTi2Mo crystal from Alexandria via LeMat-Bulk. Energies are from PBE.

- crystal system = tetragonal
- VASP energy (eV/cell) = -32.992
- V (A^3/atom) = 18.4
- calculated formation energy (meV/atom) = -9.8

Lattice parameters (Å, degrees): 3.2586 3.2586 6.9254 90.00 90.00 90.00
Space group P4/mmm (No. 123)
Asymmetric unit:
Sc 0.0000 0.0000 0.0000 [1 per cell]
Ti 0.5000 0.5000 0.2966 [2 per cell]
Mo 0.0000 0.0000 0.5000 [1 per cell]

No. 2
Here is a relaxed ScTiMo3 crystal from Alexandria via LeMat-Bulk. Energies are from PBE.

- crystal system = cubic
- VASP energy (eV/cell) = -41.194
- V (A^3/atom) = 19.7
- calculated formation energy (meV/atom) = 1105.1
- ΔE to the lowest computed polymorph (meV/atom) = 0

Lattice parameters (Å, degrees): 4.6187 4.6187 4.6187 90.00 90.00 90.00
Space group Pm-3m (No. 221)
Asymmetric unit:
Sc 0.0000 0.0000 0.0000 [1 per cell]
Ti 0.5000 0.5000 0.5000 [1 per cell]
Mo 0.0000 0.5000 0.5000 [3 per cell]

No. 3
Here is a relaxed ScTi2Mo crystal from Alexandria via LeMat-Bulk. Energies are from PBE.

- crystal system = tetragonal
- VASP energy (eV/cell) = -124.771
- V (A^3/atom) = 18.7
- calculated formation energy (meV/atom) = 439.9

Lattice parameters (Å, degrees): 7.2598 7.2598 5.6815 90.00 90.00 90.00
Space group I-42d (No. 122)
Asymmetric unit:
Sc 0.0000 0.0000 0.0000 [4 per cell]
Ti 0.2192 0.2500 0.6250 [8 per cell]
Mo 0.0000 0.0000 0.5000 [4 per cell]

No. 4
Here is a relaxed Sc3TiMo crystal from Alexandria via LeMat-Bulk. Energies are from PBE.

- crystal system = cubic
- VASP energy (eV/cell) = -34.341
- V (A^3/atom) = 24.7
- calculated formation energy (meV/atom) = 676.0
- ΔE to the lowest computed polymorph (meV/atom) = 0

Lattice parameters (Å, degrees): 4.9773 4.9773 4.9773 90.00 90.00 90.00
Space group Pm-3m (No. 221)
Asymmetric unit:
Sc 0.0000 0.0000 0.5000 [3 per cell]
Ti 0.5000 0.5000 0.5000 [1 per cell]
Mo 0.0000 0.0000 0.0000 [1 per cell]

No. 5
Here is a relaxed ScTiVMo crystal from Alexandria via LeMat-Bulk. Energies are from PBE.

- crystal system = cubic
- VASP energy (eV/cell) = -134.591
- V (A^3/atom) = 16.8
- calculated formation energy (meV/atom) = 132.1

Lattice parameters (Å, degrees): 6.4546 6.4546 6.4546 90.00 90.00 90.00
Space group F-43m (No. 216)
Asymmetric unit:
Sc 0.0000 0.0000 0.0000 [4 per cell]
Ti 0.2500 0.2500 0.7500 [4 per cell]
V 0.2500 0.2500 0.2500 [4 per cell]
Mo 0.0000 0.0000 0.5000 [4 per cell]

No. 6
Here is a relaxed ScTiZnMo crystal from Alexandria via LeMat-Bulk. Energies are from PBE.

- crystal system = cubic
- VASP energy (eV/cell) = -106.631
- V (A^3/atom) = 16.9
- calculated formation energy (meV/atom) = -81.5

Lattice parameters (Å, degrees): 6.4649 6.4649 6.4649 90.00 90.00 90.00
Space group F-43m (No. 216)
Asymmetric unit:
Sc 0.0000 0.0000 0.0000 [4 per cell]
Ti 0.0000 0.0000 0.5000 [4 per cell]
Zn 0.2500 0.2500 0.7500 [4 per cell]
Mo 0.2500 0.2500 0.2500 [4 per cell]

Q: Look up the VASP energy of the first one.
A: -32.992 eV/cell